Material: KCrIO2
Method: DFT, PBE with a Hubbard U
State: relaxed

Space group: P4/mmm
ΔE to the lowest computed polymorph, meV/atom: 0

Structure (POSCAR):
```
KCrIO2
1.0
4.187 0.000 0.000
0.000 4.187 0.000
0.000 0.000 5.645
K Cr I O
1 1 1 2
Direct
0.000 0.000 0.000
0.500 0.500 0.500
0.500 0.500 0.000
0.000 0.500 0.500
0.500 0.000 0.500
```